# 1
Zr3Ga3Os2: relaxed, PBE.

Geometry as POSCAR:
```
Zr3Ga3Os2
1.0
6.9519 0.0000 0.0000
0.0000 15.6167 0.0000
0.0000 0.0000 5.4540
Zr Ga Os
12 12 8
direct
0.0373 0.1117 0.1112
0.0373 0.3883 0.1112
0.1709 0.2500 0.6507
0.3291 0.7500 0.1507
0.4627 0.6117 0.6112
0.4627 0.8883 0.6112
0.5373 0.1117 0.3888
0.5373 0.3883 0.3888
0.6709 0.2500 0.8493
0.8291 0.7500 0.3493
0.9627 0.6117 0.8888
0.9627 0.8883 0.8888
0.1775 0.7500 0.6557
0.1806 0.0248 0.5912
0.1806 0.4752 0.5912
0.3194 0.5248 0.0912
0.3194 0.9752 0.0912
0.3225 0.2500 0.1557
0.6775 0.7500 0.8443
0.6806 0.0248 0.9088
0.6806 0.4752 0.9088
0.8194 0.5248 0.4088
0.8194 0.9752 0.4088
0.8225 0.2500 0.3443
0.1163 0.6188 0.3643
0.1163 0.8812 0.3643
0.3837 0.1188 0.8643
0.3837 0.3812 0.8643
0.6163 0.6188 0.1357
0.6163 0.8812 0.1357
0.8837 0.1188 0.6357
0.8837 0.3812 0.6357
```

Summary:
total moment: 0.000 μB/f.u.
formation energy: -387 meV per atom
total energy: -241.11 eV per cell

---

# 2
CeNd2Ag2Hg2: relaxed, PBE.

Geometry as POSCAR:
```
CeNd2Ag2Hg2
1.0
2.4748 1.4288 8.7962
-2.4748 1.4288 8.7962
0.0000 -2.8577 8.7962
Ce Nd Ag Hg
1 2 2 2
direct
0.0000 0.0000 0.0000
0.1228 0.1228 0.1228
0.8772 0.8772 0.8772
0.3969 0.3969 0.3969
0.6031 0.6031 0.6031
0.2633 0.2633 0.2633
0.7367 0.7367 0.7367
```

Summary:
total moment: 0.729 μB/f.u.
formation energy: -222 meV per atom
total energy: -23.33 eV per cell